# Ho2InGa

A geometry-optimized Ho2InGa structure (PBE, Alexandria).

Cell and atoms, written as CIF:
```
data_Ho2InGa
_cell_length_a 3.551
_cell_length_b 3.551
_cell_length_c 7.742
_cell_angle_alpha 90.00
_cell_angle_beta 90.00
_cell_angle_gamma 90.00
_symmetry_space_group_name_H-M 'P 4/m m m'
_symmetry_Int_Tables_number 123
_symmetry_space_group_name_Hall '-P 4 2'
loop_
_atom_site_label
_atom_site_type_symbol
_atom_site_fract_x
_atom_site_fract_y
_atom_site_fract_z
Ho1 Ho 0.000 0.000 0.234
In1 In 0.500 0.500 0.500
Ga1 Ga 0.500 0.500 0.000
```

Computed properties:
* energy: -16.97 eV/cell
* DOS(E_F): 0.43 states/eV/atom
* crystal system: tetragonal
* excess energy over the best structure of this formula in the dataset: 0 meV per atom
* formation energy: -0.51 eV/atom
* density: 8.75 g/cm³


# Ho2In3Ga3

A geometry-optimized Ho2In3Ga3 structure (PBE, Alexandria).

Cell and atoms, written as CIF:
```
data_Ho2In3Ga3
_cell_length_a 4.357
_cell_length_b 4.452
_cell_length_c 9.140
_cell_angle_alpha 90.00
_cell_angle_beta 90.00
_cell_angle_gamma 90.00
_symmetry_space_group_name_H-M 'P m m m'
_symmetry_Int_Tables_number 47
loop_
_symmetry_equiv_pos_as_xyz
'x,y,z'
'-x,-y,-z'
'-x,-y,z'
'x,y,-z'
'x,-y,-z'
'-x,y,z'
'-x,y,-z'
'x,-y,z'
loop_
_atom_site_label
_atom_site_type_symbol
_atom_site_fract_x
_atom_site_fract_y
_atom_site_fract_z
Ho1 Ho 0.000 0.000 0.242
In1 In 0.000 0.500 0.000
In2 In 0.000 0.500 0.500
In3 In 0.500 0.000 0.500
Ga1 Ga 0.500 0.000 0.000
Ga2 Ga 0.500 0.500 0.242
```

Computed properties:
* energy: -29.99 eV/cell
* DOS(E_F): 0.37 states/eV/atom
* crystal system: orthorhombic
* formation energy: -0.44 eV/atom
* density: 8.27 g/cm³


# Ho6In2Ga

A geometry-optimized Ho6In2Ga structure (PBE, Alexandria).

Cell and atoms, written as CIF:
```
data_Ho6In2Ga
_cell_length_a 5.085
_cell_length_b 7.201
_cell_length_c 15.252
_cell_angle_alpha 90.00
_cell_angle_beta 90.00
_cell_angle_gamma 90.00
_symmetry_space_group_name_H-M 'I m m m'
_symmetry_Int_Tables_number 71
_symmetry_space_group_name_Hall '-I 2 2'
loop_
_atom_site_label
_atom_site_type_symbol
_atom_site_fract_x
_atom_site_fract_y
_atom_site_fract_z
Ho1 Ho 0.000 0.239 0.000
Ho2 Ho 0.000 0.256 0.338
In1 In 0.000 0.500 0.166
Ga1 Ga 0.000 0.500 0.500
```

Computed properties:
* energy: -74.43 eV/cell
* DOS(E_F): 1.31 states/eV/atom
* crystal system: orthorhombic
* formation energy: -0.14 eV/atom
* density: 7.67 g/cm³


Copy entry 3 word for word.
# Ho6In2Ga

A geometry-optimized Ho6In2Ga structure (PBE, Alexandria).

Cell and atoms, written as CIF:
```
data_Ho6In2Ga
_cell_length_a 5.085
_cell_length_b 7.201
_cell_length_c 15.252
_cell_angle_alpha 90.00
_cell_angle_beta 90.00
_cell_angle_gamma 90.00
_symmetry_space_group_name_H-M 'I m m m'
_symmetry_Int_Tables_number 71
_symmetry_space_group_name_Hall '-I 2 2'
loop_
_atom_site_label
_atom_site_type_symbol
_atom_site_fract_x
_atom_site_fract_y
_atom_site_fract_z
Ho1 Ho 0.000 0.239 0.000
Ho2 Ho 0.000 0.256 0.338
In1 In 0.000 0.500 0.166
Ga1 Ga 0.000 0.500 0.500
```

Computed properties:
* energy: -74.43 eV/cell
* DOS(E_F): 1.31 states/eV/atom
* crystal system: orthorhombic
* formation energy: -0.14 eV/atom
* density: 7.67 g/cm³


formation energy of number 3 (Ho6In2Ga)?
-0.14 eV/atom